Entry 1:
# BaTlPt2 | Alexandria via LeMat-Bulk | PBE | relaxed
# Theoretical density: 12443 kg/m³
# Calculated volume: 24.42 Å³ per atom
# Spin magnetization: 0.0 μB/cell
# E_form: -57 kJ/mol of formula units
data_BaTlPt2
_chemical_formula_sum 'Ba1 Tl1 Pt2'
_cell_length_a 4.997
_cell_length_b 4.997
_cell_length_c 3.911
_cell_angle_alpha 90.00
_cell_angle_beta 90.00
_cell_angle_gamma 90.00
_space_group_name_H-M_alt 'P 4/m m m'
_space_group_IT_number 123
_space_group_name_Hall '-P 4 2'
loop_
_atom_site_label
_atom_site_type_symbol
_atom_site_fract_x
_atom_site_fract_y
_atom_site_fract_z
Ba1 Ba 0.000 0.000 0.000
Tl1 Tl 0.500 0.500 0.000
Pt1 Pt 0.000 0.500 0.500

Entry 2:
# Ba4Tl5Pt2 | Alexandria via LeMat-Bulk | PBE | relaxed
# Theoretical density: 8539 kg/m³
# Calculated volume: 34.67 Å³ per atom
# Spin magnetization: 0.0 μB/cell
# E_form: -467 kJ/mol of formula units
data_Ba4Tl5Pt2
_chemical_formula_sum 'Ba4 Tl5 Pt2'
_cell_length_a 8.431
_cell_length_b 4.445
_cell_length_c 10.177
_cell_angle_alpha 90.00
_cell_angle_beta 90.88
_cell_angle_gamma 90.00
_space_group_name_H-M_alt 'P 1 2/m 1'
_space_group_IT_number 10
_space_group_name_Hall '-P 2y'
loop_
_atom_site_label
_atom_site_type_symbol
_atom_site_fract_x
_atom_site_fract_y
_atom_site_fract_z
Ba1 Ba 0.187 0.000 0.159
Ba2 Ba 0.226 0.000 0.591
Tl1 Tl 0.147 0.500 0.868
Tl2 Tl 0.421 0.500 0.349
Tl3 Tl 0.500 0.500 0.000
Pt1 Pt 0.068 0.500 0.376

Entry 3:
# Ba2TlPt2 | Alexandria via LeMat-Bulk | PBE | relaxed
# Theoretical density: 9954 kg/m³
# Calculated volume: 29.00 Å³ per atom
# Spin magnetization: 0.0 μB/cell
# E_form: -286 kJ/mol of formula units
data_Ba2TlPt2
_chemical_formula_sum 'Ba4 Tl2 Pt4'
_cell_length_a 4.759
_cell_length_b 6.182
_cell_length_c 9.858
_cell_angle_alpha 90.00
_cell_angle_beta 90.00
_cell_angle_gamma 90.00
_space_group_name_H-M_alt 'I m m m'
_space_group_IT_number 71
_space_group_name_Hall '-I 2 2'
loop_
_atom_site_label
_atom_site_type_symbol
_atom_site_fract_x
_atom_site_fract_y
_atom_site_fract_z
Ba1 Ba 0.000 0.000 0.200
Tl1 Tl 0.000 0.500 0.000
Pt1 Pt 0.000 0.278 0.500

Entry 4:
# Ba6TlPt | Alexandria via LeMat-Bulk | PBE | relaxed
# Theoretical density: 4570 kg/m³
# Calculated volume: 55.57 Å³ per atom
# E above lowest polymorph: 0.010 eV/atom
# Spin magnetization: 0.0 μB/cell
# E_form: -232 kJ/mol of formula units
data_Ba6TlPt
_chemical_formula_sum 'Ba12 Tl2 Pt2'
_cell_length_a 8.498
_cell_length_b 13.458
_cell_length_c 8.078
_cell_angle_alpha 90.00
_cell_angle_beta 105.77
_cell_angle_gamma 90.00
_space_group_name_H-M_alt 'C 1 2/m 1'
_space_group_IT_number 12
_space_group_name_Hall '-C 2y'
loop_
_atom_site_label
_atom_site_type_symbol
_atom_site_fract_x
_atom_site_fract_y
_atom_site_fract_z
Ba1 Ba 0.202 0.162 0.247
Ba2 Ba 0.240 0.500 0.215
Tl1 Tl 0.000 0.500 0.500
Pt1 Pt 0.000 0.000 0.000

Entry 5:
# Ba5TlPt2 | Alexandria via LeMat-Bulk | PBE | relaxed
# Theoretical density: 6500 kg/m³
# Calculated volume: 40.91 Å³ per atom
# Spin magnetization: 0.0 μB/cell
# E_form: -398 kJ/mol of formula units
data_Ba5TlPt2
_chemical_formula_sum 'Ba10 Tl2 Pt4'
_cell_length_a 4.708
_cell_length_b 8.204
_cell_length_c 16.946
_cell_angle_alpha 90.00
_cell_angle_beta 90.00
_cell_angle_gamma 90.00
_space_group_name_H-M_alt 'I m m m'
_space_group_IT_number 71
_space_group_name_Hall '-I 2 2'
loop_
_atom_site_label
_atom_site_type_symbol
_atom_site_fract_x
_atom_site_fract_y
_atom_site_fract_z
Ba1 Ba 0.000 0.000 0.000
Ba2 Ba 0.000 0.238 0.348
Tl1 Tl 0.000 0.500 0.000
Pt1 Pt 0.000 0.000 0.190

Entry 6:
# BaTl2Pt2 | Alexandria via LeMat-Bulk | PBE | relaxed
# Theoretical density: 12063 kg/m³
# Calculated volume: 25.78 Å³ per atom
# Spin magnetization: 0.0 μB/cell
# E_form: -94 kJ/mol of formula units
data_BaTl2Pt2
_chemical_formula_sum 'Ba2 Tl4 Pt4'
_cell_length_a 8.016
_cell_length_b 8.016
_cell_length_c 4.011
_cell_angle_alpha 90.00
_cell_angle_beta 90.00
_cell_angle_gamma 90.00
_space_group_name_H-M_alt 'P 4/m b m'
_space_group_IT_number 127
_space_group_name_Hall '-P 4 2ab'
loop_
_atom_site_label
_atom_site_type_symbol
_atom_site_fract_x
_atom_site_fract_y
_atom_site_fract_z
Ba1 Ba 0.000 0.000 0.000
Tl1 Tl 0.155 0.345 0.500
Pt1 Pt 0.122 0.622 0.000

Entry 7:
# Ba4TlPt | Alexandria via LeMat-Bulk | PBE | relaxed
# Theoretical density: 5208 kg/m³
# Calculated volume: 50.42 Å³ per atom
# E above lowest polymorph: 0.019 eV/atom
# Spin magnetization: 0.0 μB/cell
# E_form: -235 kJ/mol of formula units
data_Ba4TlPt
_chemical_formula_sum 'Ba8 Tl2 Pt2'
_cell_length_a 14.710
_cell_length_b 4.610
_cell_length_c 9.160
_cell_angle_alpha 90.00
_cell_angle_beta 103.12
_cell_angle_gamma 90.00
_space_group_name_H-M_alt 'C 1 2/m 1'
_space_group_IT_number 12
_space_group_name_Hall '-C 2y'
loop_
_atom_site_label
_atom_site_type_symbol
_atom_site_fract_x
_atom_site_fract_y
_atom_site_fract_z
Ba1 Ba 0.112 0.000 0.384
Ba2 Ba 0.130 0.500 0.825
Tl1 Tl 0.000 0.000 0.000
Pt1 Pt 0.000 0.500 0.500

Entry 8:
# BaTlPt | Alexandria via LeMat-Bulk | PBE | relaxed
# Theoretical density: 8314 kg/m³
# Calculated volume: 35.74 Å³ per atom
# Spin magnetization: 0.0 μB/cell
# E_form: 27 kJ/mol of formula units
data_BaTlPt
_chemical_formula_sum 'Ba4 Tl4 Pt4'
_cell_length_a 7.541
_cell_length_b 7.541
_cell_length_c 7.541
_cell_angle_alpha 90.00
_cell_angle_beta 90.00
_cell_angle_gamma 90.00
_space_group_name_H-M_alt 'F -4 3 m'
_space_group_IT_number 216
_space_group_name_Hall 'F -4 2 3'
loop_
_atom_site_label
_atom_site_type_symbol
_atom_site_fract_x
_atom_site_fract_y
_atom_site_fract_z
Ba1 Ba 0.000 0.000 0.000
Tl1 Tl 0.250 0.250 0.750
Pt1 Pt 0.250 0.250 0.250

Entry 9:
# Ba2TlPt | Alexandria via LeMat-Bulk | PBE | relaxed
# Theoretical density: 6670 kg/m³
# Calculated volume: 41.96 Å³ per atom
# E above lowest polymorph: 0.216 eV/atom
# Spin magnetization: 0.0 μB/cell
# E_form: -115 kJ/mol of formula units
data_Ba2TlPt
_chemical_formula_sum 'Ba2 Tl1 Pt1'
_cell_length_a 4.558
_cell_length_b 4.558
_cell_length_c 8.079
_cell_angle_alpha 90.00
_cell_angle_beta 90.00
_cell_angle_gamma 90.00
_space_group_name_H-M_alt 'P 4 m m'
_space_group_IT_number 99
_space_group_name_Hall 'P 4 -2'
loop_
_atom_site_label
_atom_site_type_symbol
_atom_site_fract_x
_atom_site_fract_y
_atom_site_fract_z
Ba1 Ba 0.000 0.000 0.000
Ba2 Ba 0.500 0.500 0.384
Tl1 Tl 0.500 0.500 0.823
Pt1 Pt 0.000 0.000 0.374

Entry 10:
# BaTl2Pt2 | Alexandria via LeMat-Bulk | PBE | relaxed
# Theoretical density: 11428 kg/m³
# Calculated volume: 27.21 Å³ per atom
# Spin magnetization: 0.0 μB/cell
# E_form: -169 kJ/mol of formula units
data_BaTl2Pt2
_chemical_formula_sum 'Ba2 Tl4 Pt4'
_cell_length_a 5.087
_cell_length_b 5.087
_cell_length_c 10.516
_cell_angle_alpha 90.00
_cell_angle_beta 90.00
_cell_angle_gamma 90.00
_space_group_name_H-M_alt 'I 4/m m m'
_space_group_IT_number 139
_space_group_name_Hall '-I 4 2'
loop_
_atom_site_label
_atom_site_type_symbol
_atom_site_fract_x
_atom_site_fract_y
_atom_site_fract_z
Ba1 Ba 0.000 0.000 0.000
Tl1 Tl 0.000 0.000 0.355
Pt1 Pt 0.000 0.500 0.250

Entry 11:
# Ba2Tl3Pt2 | Alexandria via LeMat-Bulk | PBE | relaxed
# Theoretical density: 10157 kg/m³
# Calculated volume: 29.85 Å³ per atom
# Spin magnetization: 0.0 μB/cell
# E_form: -304 kJ/mol of formula units
data_Ba2Tl3Pt2
_chemical_formula_sum 'Ba4 Tl6 Pt4'
_cell_length_a 11.674
_cell_length_b 4.489
_cell_length_c 8.040
_cell_angle_alpha 90.00
_cell_angle_beta 97.32
_cell_angle_gamma 90.00
_space_group_name_H-M_alt 'C 1 2/m 1'
_space_group_IT_number 12
_space_group_name_Hall '-C 2y'
loop_
_atom_site_label
_atom_site_type_symbol
_atom_site_fract_x
_atom_site_fract_y
_atom_site_fract_z
Ba1 Ba 0.126 0.000 0.347
Tl1 Tl 0.000 0.500 0.000
Tl2 Tl 0.181 0.000 0.854
Pt1 Pt 0.080 0.500 0.639

Entry 12:
# BaTlPt2 | Alexandria via LeMat-Bulk | PBE | relaxed
# Theoretical density: 12532 kg/m³
# Calculated volume: 24.24 Å³ per atom
# Spin magnetization: 0.0 μB/cell
# E_form: -86 kJ/mol of formula units
data_BaTlPt2
_chemical_formula_sum 'Ba1 Tl1 Pt2'
_cell_length_a 3.665
_cell_length_b 3.665
_cell_length_c 7.220
_cell_angle_alpha 90.00
_cell_angle_beta 90.00
_cell_angle_gamma 90.00
_space_group_name_H-M_alt 'P 4/m m m'
_space_group_IT_number 123
_space_group_name_Hall '-P 4 2'
loop_
_atom_site_label
_atom_site_type_symbol
_atom_site_fract_x
_atom_site_fract_y
_atom_site_fract_z
Ba1 Ba 0.000 0.000 0.000
Tl1 Tl 0.000 0.000 0.500
Pt1 Pt 0.500 0.500 0.305